The following is a GGA+U calculation of a relaxed structure of GdCoO3, from OQMD.

As for the raw total energy: -5.904 eV/atom.

a = 4.3077 Å, b = 4.3077 Å, c = 4.3077 Å
α = 90.00°, β = 90.00°, γ = 90.00°
With the nearest neighbours (Å) after each atom.
Sites, in units of the cell vectors:
Gd  0.0000  0.0000  0.0000  6 O 2.15
Co  0.5000  0.5000  0.5000  12 O 3.05
O  0.0000  0.0000  0.5000  2 Gd 2.15
O  0.0000  0.5000  0.0000  2 Gd 2.15
O  0.5000  0.0000  0.0000  2 Gd 2.15